Below is a relaxed structure of Li5NiO4, with properties calculated at the GGA+U level.

The structure belongs to space group Pbca (No. 61); the cell edges are 5.0766, 16.2383 and 9.5852 Å and the angles 90.00°, 90.00° and 90.00°. The distinct sites, in fractional coordinates, are Li at (0.0153, 0.2271, 0.0462), Li at (0.0590, 0.5225, 0.2076), Li at (0.0793, 0.5668, 0.4574), Li at (0.0972, 0.1770, 0.3187), Li at (0.1183, 0.6657, 0.6924), Ni at (0.1428, 0.6183, 0.9559), O at (0.2018, 0.1502, 0.5229), O at (0.2190, 0.2093, 0.8575), O at (0.2238, 0.1233, 0.1424) and O at (0.2320, 0.0255, 0.8697).

The volume is 790 Å³/cell. The density of states at the Fermi level comes out at 0.000 states/eV/atom. The total energy comes out at -4.728 eV per atom.